Entry 1:
# YLu3Pt4

A relaxed YLu3Pt4 crystal (PBE, OQMD via LeMat-Bulk).

Cell lengths 5.5208, 4.4535, 6.8902 Å; angles 90.00, 90.54, 90.00 degrees
Last column: nearest neighbours and their distance in Å.
Element x y z (fractional)
Y 0.0000 0.0000 0.0000  7 Pt 2.84-3.04
Lu 0.2179 0.0000 0.4991  7 Pt 2.81-3.01
Lu 0.4990 0.5000 0.1383  7 Pt 2.85-3.02
Lu 0.7166 0.5000 0.6363  7 Pt 2.83-2.97
Pt 0.0166 0.5000 0.2825  5 Lu 2.85-3.02, 2 Pt 2.90, 2 Y 2.96
Pt 0.2050 0.5000 0.7668  5 Lu 2.83-3.02, 2 Pt 2.87, 2 Y 2.98
Pt 0.5142 0.0000 0.8592  2 Y 2.84-3.01, 2 Pt 2.87, 5 Lu 2.93-2.96
Pt 0.6975 0.0000 0.3670  6 Lu 2.81-3.01, 2 Pt 2.90, 1 Y 3.04

Calculated values
**Size of the total moment**: 0.00 μB/atom
**Calculated total energy**: -54.81 eV per cell
**Formation energy from the elements**: -1.3190 eV/atom
**Space-group type**: Pm (6)

---

Entry 2:
# Lu2ZnPt

A relaxed Lu2ZnPt crystal (PBE, OQMD via LeMat-Bulk).

Cell lengths 4.1079, 4.1079, 12.4015 Å; angles 90.00, 90.00, 120.00 degrees
Last column: nearest neighbours and their distance in Å.
Element x y z (fractional)
Lu 0.3333 0.6667 0.1249  3 Zn 2.83, 3 Pt 2.83, 1 Lu 3.10
Lu 0.3333 0.6667 0.3751  3 Zn 2.83, 3 Pt 2.83, 1 Lu 3.10
Lu 0.6667 0.3333 0.6249  3 Zn 2.83, 3 Pt 2.83, 1 Lu 3.10
Lu 0.6667 0.3333 0.8751  3 Zn 2.83, 3 Pt 2.83, 1 Lu 3.10
Zn 0.0000 0.0000 0.0000  6 Lu 2.83
Zn 0.0000 0.0000 0.5000  6 Lu 2.83
Pt 0.3333 0.6667 0.7500  6 Lu 2.83
Pt 0.6667 0.3333 0.2500  6 Lu 2.83

Calculated values
**Size of the total moment**: 0.00 μB/atom
**Calculated total energy**: -36.88 eV per cell
**Formation energy from the elements**: -0.5178 eV/atom
**Space-group type**: P6_3/mmc (194)

---

Entry 3:
# Lu2ZnPt

A relaxed Lu2ZnPt crystal (PBE, OQMD via LeMat-Bulk).

Cell lengths 4.5126, 4.5126, 9.7443 Å; angles 90.00, 90.00, 120.00 degrees
Last column: nearest neighbours and their distance in Å.
Element x y z (fractional)
Lu 0.3333 0.6667 0.0988  4 Lu 2.95-3.24, 3 Zn 2.99, 3 Pt 2.99
Lu 0.3333 0.6667 0.4012  4 Lu 2.95-3.24, 3 Zn 2.99, 3 Pt 2.99
Lu 0.6667 0.3333 0.5988  4 Lu 2.95-3.24, 3 Zn 2.99, 3 Pt 2.99
Lu 0.6667 0.3333 0.9012  4 Lu 2.95-3.24, 3 Zn 2.99, 3 Pt 2.99
Zn 0.0000 0.0000 0.2500  3 Pt 2.61
Zn 0.0000 0.0000 0.7500  3 Pt 2.61
Pt 0.3333 0.6667 0.7500  3 Zn 2.61
Pt 0.6667 0.3333 0.2500  3 Zn 2.61

Calculated values
**Size of the total moment**: 0.00 μB/atom
**Calculated total energy**: -37.66 eV per cell
**Formation energy from the elements**: -0.6161 eV/atom
**Space-group type**: P6_3/mmc (194)

---

Entry 4:
# LuZn2Pt

A relaxed LuZn2Pt crystal (PBE, OQMD via LeMat-Bulk).

Cell lengths 4.6180, 4.6180, 4.6180 Å; angles 60.00, 60.00, 60.00 degrees
Last column: nearest neighbours and their distance in Å.
Element x y z (fractional)
Lu 0.0000 0.0000 0.0000  4 Pt 2.83, 4 Zn 2.83
Zn 0.2500 0.2500 0.2500  4 Zn 2.83, 4 Lu 2.83
Zn 0.5000 0.5000 0.5000  4 Pt 2.83, 4 Zn 2.83
Pt 0.7500 0.7500 0.7500  4 Zn 2.83, 4 Lu 2.83

Calculated values
**Size of the total moment**: 0.00 μB/atom
**Calculated total energy**: -15.59 eV per cell
**Formation energy from the elements**: -0.6200 eV/atom
**Space-group type**: F-43m (216)

---

Entry 5:
# Lu2ZnPt

A relaxed Lu2ZnPt crystal (PBE, OQMD via LeMat-Bulk).

Cell lengths 4.0175, 4.0175, 13.8148 Å; angles 90.00, 90.00, 120.00 degrees
Last column: nearest neighbours and their distance in Å.
Element x y z (fractional)
Lu 0.3333 0.6667 0.1093  3 Pt 2.77, 3 Zn 3.03
Lu 0.3333 0.6667 0.3907  3 Pt 2.77, 3 Zn 3.03
Lu 0.6667 0.3333 0.6093  3 Pt 2.77, 3 Zn 3.03
Lu 0.6667 0.3333 0.8907  3 Pt 2.77, 3 Zn 3.03
Zn 0.3333 0.6667 0.7500  6 Lu 3.03
Zn 0.6667 0.3333 0.2500  6 Lu 3.03
Pt 0.0000 0.0000 0.0000  6 Lu 2.77
Pt 0.0000 0.0000 0.5000  6 Lu 2.77

Calculated values
**Size of the total moment**: 0.00 μB/atom
**Calculated total energy**: -37.83 eV per cell
**Formation energy from the elements**: -0.6369 eV/atom
**Space-group type**: P6_3/mmc (194)

---

Entry 6:
# Lu2ZnPt

A relaxed Lu2ZnPt crystal (PBE, OQMD via LeMat-Bulk).

Cell lengths 4.7465, 4.7465, 4.7465 Å; angles 60.00, 60.00, 60.00 degrees
Last column: nearest neighbours and their distance in Å.
Element x y z (fractional)
Lu 0.0000 0.0000 0.0000  4 Pt 2.91, 4 Lu 2.91
Lu 0.2500 0.2500 0.2500  4 Zn 2.91, 4 Lu 2.91
Zn 0.5000 0.5000 0.5000  4 Pt 2.91, 4 Lu 2.91
Pt 0.7500 0.7500 0.7500  4 Zn 2.91, 4 Lu 2.91

Calculated values
**Size of the total moment**: 0.00 μB/atom
**Calculated total energy**: -18.61 eV per cell
**Formation energy from the elements**: -0.5597 eV/atom
**Space-group type**: F-43m (216)

---

Entry 7:
# LuZrPt2

A relaxed LuZrPt2 crystal (PBE, OQMD via LeMat-Bulk).

Cell lengths 4.6803, 4.6803, 4.6803 Å; angles 60.00, 60.00, 60.00 degrees
Last column: nearest neighbours and their distance in Å.
Element x y z (fractional)
Lu 0.0000 0.0000 0.0000  4 Zr 2.87, 4 Pt 2.87
Zr 0.7500 0.7500 0.7500  4 Pt 2.87, 4 Lu 2.87
Pt 0.2500 0.2500 0.2500  4 Pt 2.87, 4 Lu 2.87
Pt 0.5000 0.5000 0.5000  4 Zr 2.87, 4 Pt 2.87

Calculated values
**Size of the total moment**: 0.00 μB/atom
**Calculated total energy**: -28.33 eV per cell
**Formation energy from the elements**: -0.7866 eV/atom
**Space-group type**: F-43m (216)

---

Entry 8:
# LuPuS3

A relaxed LuPuS3 crystal (PBE, OQMD via LeMat-Bulk).

Cell lengths 6.5211, 6.5211, 9.3521 Å; angles 90.00, 90.00, 146.09 degrees
Last column: nearest neighbours and their distance in Å.
Element x y z (fractional)
Lu 0.0000 0.0000 0.0000  6 S 2.60-2.68
Lu 0.0000 0.0000 0.5000  6 S 2.60-2.68
Pu 0.2513 0.7487 0.7500  6 S 2.73-2.90
Pu 0.7487 0.2513 0.2500  6 S 2.73-2.90
S 0.0914 0.9086 0.2500  2 Lu 2.60, 2 Pu 2.73
S 0.3569 0.6431 0.0664  2 Lu 2.68, 2 Pu 2.90
S 0.3569 0.6431 0.4336  2 Lu 2.68, 2 Pu 2.90
S 0.6431 0.3569 0.5664  2 Lu 2.68, 2 Pu 2.90
S 0.6431 0.3569 0.9336  2 Lu 2.68, 2 Pu 2.90
S 0.9086 0.0914 0.7500  2 Lu 2.60, 2 Pu 2.73

Calculated values
**Size of the total moment**: 1.00 μB/atom
**Calculated total energy**: -80.78 eV per cell
**Space-group type**: Cmcm (63)

---

Entry 9:
# LuPuSb

A relaxed LuPuSb crystal (PBE, OQMD via LeMat-Bulk).

Cell lengths 5.0836, 5.0836, 5.0836 Å; angles 60.00, 60.00, 60.00 degrees
Last column: nearest neighbours and their distance in Å.
Element x y z (fractional)
Lu 0.0000 0.0000 0.0000  4 Sb 3.11, 4 Pu 3.11
Pu 0.7500 0.7500 0.7500  4 Lu 3.11
Sb 0.2500 0.2500 0.2500  4 Lu 3.11

Calculated values
**Size of the total moment**: 2.43 μB/atom
**Calculated total energy**: -22.79 eV per cell
**Space-group type**: F-43m (216)

---

Entry 10:
# LuPuSc

A relaxed LuPuSc crystal (PBE, OQMD via LeMat-Bulk).

Cell lengths 5.1245, 5.1245, 5.1245 Å; angles 60.00, 60.00, 60.00 degrees
Last column: nearest neighbours and their distance in Å.
Element x y z (fractional)
Lu 0.0000 0.0000 0.0000  4 Sc 3.14
Pu 0.5000 0.5000 0.5000  4 Sc 3.14
Sc 0.2500 0.2500 0.2500  4 Pu 3.14, 4 Lu 3.14

Calculated values
**Size of the total moment**: 2.31 μB/atom
**Calculated total energy**: -22.78 eV per cell
**Formation energy from the elements**: 0.7318 eV/atom
**Space-group type**: F-43m (216)

---

Entry 11:
# LuPuSe3

A relaxed LuPuSe3 crystal (PBE, OQMD via LeMat-Bulk).

Cell lengths 6.7993, 6.7993, 9.8689 Å; angles 90.00, 90.00, 146.12 degrees
Last column: nearest neighbours and their distance in Å.
Element x y z (fractional)
Lu 0.0000 0.0000 0.0000  6 Se 2.72-2.81
Lu 0.0000 0.0000 0.5000  6 Se 2.72-2.81
Pu 0.2512 0.7488 0.7500  6 Se 2.87-3.03
Pu 0.7488 0.2512 0.2500  6 Se 2.87-3.03
Se 0.0887 0.9113 0.2500  2 Lu 2.72, 2 Pu 2.87
Se 0.3550 0.6450 0.0642  2 Lu 2.81, 2 Pu 3.03
Se 0.3550 0.6450 0.4358  2 Lu 2.81, 2 Pu 3.03
Se 0.6450 0.3550 0.5642  2 Lu 2.81, 2 Pu 3.03
Se 0.6450 0.3550 0.9358  2 Lu 2.81, 2 Pu 3.03
Se 0.9113 0.0887 0.7500  2 Lu 2.72, 2 Pu 2.87

Calculated values
**Size of the total moment**: 1.00 μB/atom
**Calculated total energy**: -74.80 eV per cell
**Space-group type**: Cmcm (63)

---

Entry 12:
# LuPuSi

A relaxed LuPuSi crystal (PBE, OQMD via LeMat-Bulk).

Cell lengths 4.7774, 4.7774, 4.7774 Å; angles 60.00, 60.00, 60.00 degrees
Last column: nearest neighbours and their distance in Å.
Element x y z (fractional)
Lu 0.0000 0.0000 0.0000  4 Si 2.93
Pu 0.5000 0.5000 0.5000  4 Si 2.93
Si 0.2500 0.2500 0.2500  4 Pu 2.93, 4 Lu 2.93

Calculated values
**Size of the total moment**: 2.04 μB/atom
**Calculated total energy**: -24.91 eV per cell
**Space-group type**: F-43m (216)

---

> Which value of size of the total moment does entry 4 give?

0.00 μB/atom

---

> Which of these has the lowest calculated total energy?

LuPuS3

---

> Among the records above, which one has the highest calculated total energy?

LuZn2Pt